[1]
Computed, not measured: crystalline HfAg3Te4 at its relaxed geometry at the PBE level of DFT.

The space group is P-43m (No. 215) and the conventional cell measures 6.514, 6.514 and 6.514 Å, with angles of 90.00, 90.00 and 90.00 degrees. The asymmetric unit holds Hf at (0.000, 0.000, 0.000), Ag at (0.000, 0.000, 0.500) and Te at (0.247, 0.247, 0.247).

=====

[2]
Computed, not measured: crystalline HfAg2Te3 at its relaxed geometry at the PBE level of DFT.

The space group is P2_1/m (No. 11) and the conventional cell measures 8.183, 4.107 and 11.273 Å, with angles of 90.00, 102.37 and 90.00 degrees. The asymmetric unit holds Hf at (0.236, 0.250, 0.210), Ag at (0.060, 0.250, 0.929), Ag at (0.405, 0.750, 0.420), Te at (0.060, 0.750, 0.323), Te at (0.294, 0.750, 0.032) and Te at (0.430, 0.750, 0.682).

=====

[3]
Computed, not measured: crystalline HfAgTe3 at its relaxed geometry at the PBE level of DFT.

The space group is C2/m (No. 12) and the conventional cell measures 18.906, 4.489 and 7.646 Å, with angles of 90.00, 108.42 and 90.00 degrees. The asymmetric unit holds Hf at (0.213, 0.000, 0.229), Ag at (0.020, 0.500, 0.739), Te at (0.051, 0.000, 0.192), Te at (0.167, 0.500, 0.960) and Te at (0.188, 0.000, 0.587).

For the excess energy over the best structure of this formula in the dataset, the calculation gives 0 meV per atom.

=====

[4]
Computed, not measured: crystalline Hf2AgTe at its relaxed geometry at the PBE level of DFT.

The space group is I-42d (No. 122) and the conventional cell measures 7.687, 7.687 and 6.144 Å, with angles of 90.00, 90.00 and 90.00 degrees. The asymmetric unit holds Hf at (0.246, 0.750, 0.125), Ag at (0.000, 0.000, 0.000) and Te at (0.000, 0.000, 0.500).

=====

Number 1: ΔE_f (raw) -0.329 eV per atom. Number 2: ΔE_f (raw) -0.420 eV per atom. Number 3: ΔE_f (raw) -0.397 eV per atom. Number 4: ΔE_f (raw) 0.076 eV per atom.